# CdAs2Pd7 PBE optimized geometry
data_CdAs2Pd7
_cell_length_a 10.563
_cell_length_b 10.563
_cell_length_c 10.563
_cell_angle_alpha 157.81
_cell_angle_beta 157.81
_cell_angle_gamma 31.59
_space_group_name_H-M_alt 'P 1'
_space_group_IT_number 1
_space_group_name_Hall 'P 1'
loop_
_atom_site_label
_atom_site_type_symbol
_atom_site_fract_x
_atom_site_fract_y
_atom_site_fract_z
Cd1 Cd 0.000 0.000 0.000
As1 As 0.329 0.329 0.000
As2 As 0.671 0.671 0.000
Pd1 Pd 0.101 0.601 0.500
Pd2 Pd 0.250 0.750 0.500
Pd3 Pd 0.399 0.899 0.500
Pd4 Pd 0.500 0.500 0.000
Pd5 Pd 0.601 0.101 0.500
Pd6 Pd 0.750 0.250 0.500
Pd7 Pd 0.899 0.399 0.500
# Formation energy = -368 meV/atom
# Energy above the lowest structure with this stoichiometry = 0.000 eV/atom
# Fermi-level density of states = 2.9 states/eV per cell
# Total moment = 0.0 μB per formula unit